# LiHfZrRu (PBE, relaxed)
# Energy of formation from the pure elements: -0.313 eV/atom
data_LiHfZrRu
_space_group_name_H-M_alt 'F -4 3 m'
_space_group_IT_number 216
_space_group_name_Hall 'F -4 2 3'
_cell_length_a 6.556
_cell_length_b 6.556
_cell_length_c 6.556
_cell_angle_alpha 90.00
_cell_angle_beta 90.00
_cell_angle_gamma 90.00
loop_
_atom_site_label
_atom_site_type_symbol
_atom_site_fract_x
_atom_site_fract_y
_atom_site_fract_z
Li1 Li 0.000 0.000 0.000
Hf1 Hf 0.250 0.250 0.750
Zr1 Zr 0.250 0.250 0.250
Ru1 Ru 0.000 0.000 0.500



# LiHfS2 (PBE, relaxed)
# Formation energy from raw total energies: -136.9 kJ per mole of atoms
data_LiHfS2
_space_group_name_H-M_alt 'P n n m'
_space_group_IT_number 58
_cell_length_a 6.248
_cell_length_b 6.341
_cell_length_c 3.494
_cell_angle_alpha 90.00
_cell_angle_beta 90.00
_cell_angle_gamma 90.00
loop_
_space_group_symop_operation_xyz
'x,y,z'
'-x,-y,-z'
'-x,-y,z'
'x,y,-z'
'x+1/2,-y+1/2,-z+1/2'
'-x+1/2,y+1/2,z+1/2'
'-x+1/2,y+1/2,-z+1/2'
'x+1/2,-y+1/2,z+1/2'
loop_
_atom_site_label
_atom_site_type_symbol
_atom_site_fract_x
_atom_site_fract_y
_atom_site_fract_z
Li1 Li 0.000 0.000 0.000
Hf1 Hf 0.000 0.500 0.500
S1 S 0.242 0.323 0.000



# Li3Hf4S8 (PBE, relaxed)
# Formation energy from raw total energies: -145.3 kJ per mole of atoms
data_Li3Hf4S8
_space_group_name_H-M_alt 'C 1 2/m 1'
_space_group_IT_number 12
_cell_length_a 10.177
_cell_length_b 10.292
_cell_length_c 7.210
_cell_angle_alpha 90.00
_cell_angle_beta 134.23
_cell_angle_gamma 90.00
loop_
_space_group_symop_operation_xyz
'x,y,z'
'-x,-y,-z'
'-x,y,-z'
'x,-y,z'
'x+1/2,y+1/2,z'
'-x+1/2,-y+1/2,-z'
'-x+1/2,y+1/2,-z'
'x+1/2,-y+1/2,z'
loop_
_atom_site_label
_atom_site_type_symbol
_atom_site_fract_x
_atom_site_fract_y
_atom_site_fract_z
Li1 Li 0.000 0.000 0.000
Li2 Li 0.250 0.250 0.000
Hf1 Hf 0.000 0.500 0.000
Hf2 Hf 0.000 0.500 0.500
Hf3 Hf 0.250 0.250 0.500
S1 S 0.000 0.248 0.000
S2 S 0.000 0.248 0.500
S3 S 0.241 0.500 0.988
S4 S 0.243 0.000 0.498



# LiHf3S6 (PBE, relaxed)
# Formation energy from raw total energies: -138.6 kJ per mole of atoms
data_LiHf3S6
_space_group_name_H-M_alt 'C m c 21'
_space_group_IT_number 36
_cell_length_a 9.983
_cell_length_b 12.272
_cell_length_c 6.266
_cell_angle_alpha 90.00
_cell_angle_beta 90.00
_cell_angle_gamma 90.00
loop_
_space_group_symop_operation_xyz
'x,y,z'
'-x,-y,z+1/2'
'-x,y,z'
'x,-y,z+1/2'
'x+1/2,y+1/2,z'
'-x+1/2,-y+1/2,z+1/2'
'-x+1/2,y+1/2,z'
'x+1/2,-y+1/2,z+1/2'
loop_
_atom_site_label
_atom_site_type_symbol
_atom_site_fract_x
_atom_site_fract_y
_atom_site_fract_z
Li1 Li 0.000 0.199 0.000
Hf1 Hf 0.000 0.398 0.370
Hf2 Hf 0.171 0.102 0.478
S1 S 0.000 0.027 0.188
S2 S 0.000 0.232 0.631
S3 S 0.164 0.467 0.671
S4 S 0.177 0.275 0.214



# Li4HfS4 (PBE, relaxed)
# Formation energy from raw total energies: -138.0 kJ per mole of atoms
data_Li4HfS4
_space_group_name_H-M_alt 'C 1 2/m 1'
_space_group_IT_number 12
_cell_length_a 12.480
_cell_length_b 3.717
_cell_length_c 9.177
_cell_angle_alpha 90.00
_cell_angle_beta 125.50
_cell_angle_gamma 90.00
loop_
_space_group_symop_operation_xyz
'x,y,z'
'-x,-y,-z'
'-x,y,-z'
'x,-y,z'
'x+1/2,y+1/2,z'
'-x+1/2,-y+1/2,-z'
'-x+1/2,y+1/2,-z'
'x+1/2,-y+1/2,z'
loop_
_atom_site_label
_atom_site_type_symbol
_atom_site_fract_x
_atom_site_fract_y
_atom_site_fract_z
Li1 Li 0.150 0.000 0.377
Li2 Li 0.209 0.500 0.820
Hf1 Hf 0.000 0.500 0.000
S1 S 0.075 0.000 0.882
S2 S 0.228 0.500 0.296



# LiHfS3 (PBE, relaxed)
# Formation energy from raw total energies: -98.1 kJ per mole of atoms
data_LiHfS3
_space_group_name_H-M_alt 'R 3 m'
_space_group_IT_number 160
_space_group_name_Hall 'R 3 -2"'
_cell_length_a 6.9565
_cell_length_b 6.9565
_cell_length_c 8.9172
_cell_angle_alpha 90.00
_cell_angle_beta 90.00
_cell_angle_gamma 120.00
loop_
_atom_site_label
_atom_site_type_symbol
_atom_site_fract_x
_atom_site_fract_y
_atom_site_fract_z
Li1 Li 0.0000 0.0000 0.0000
Hf1 Hf 0.0000 0.0000 0.6394
S1 S 0.1701 0.3402 0.4858



# Li3HfS (PBE, relaxed)
# Formation energy from raw total energies: 120.5 kJ per mole of atoms
data_Li3HfS
_space_group_name_H-M_alt 'P m -3 m'
_space_group_IT_number 221
_space_group_name_Hall '-P 4 2 3'
_cell_length_a 5.257
_cell_length_b 5.257
_cell_length_c 5.257
_cell_angle_alpha 90.00
_cell_angle_beta 90.00
_cell_angle_gamma 90.00
loop_
_atom_site_label
_atom_site_type_symbol
_atom_site_fract_x
_atom_site_fract_y
_atom_site_fract_z
Li1 Li 0.000 0.000 0.500
Hf1 Hf 0.000 0.000 0.000
S1 S 0.500 0.500 0.500



# Li2Hf3S6 (PBE, relaxed)
# Formation energy from raw total energies: -149.3 kJ per mole of atoms
data_Li2Hf3S6
_space_group_name_H-M_alt 'C 1 2/m 1'
_space_group_IT_number 12
_cell_length_a 6.212
_cell_length_b 10.764
_cell_length_c 6.600
_cell_angle_alpha 90.00
_cell_angle_beta 108.25
_cell_angle_gamma 90.00
loop_
_space_group_symop_operation_xyz
'x,y,z'
'-x,-y,-z'
'-x,y,-z'
'x,-y,z'
'x+1/2,y+1/2,z'
'-x+1/2,-y+1/2,-z'
'-x+1/2,y+1/2,-z'
'x+1/2,-y+1/2,z'
loop_
_atom_site_label
_atom_site_type_symbol
_atom_site_fract_x
_atom_site_fract_y
_atom_site_fract_z
Li1 Li 0.000 0.167 0.000
Hf1 Hf 0.000 0.000 0.500
Hf2 Hf 0.000 0.334 0.500
S1 S 0.247 0.167 0.743
S2 S 0.248 0.500 0.743



# Li2HfS (PBE, relaxed)
# Formation energy from raw total energies: -32.4 kJ per mole of atoms
data_Li2HfS
_space_group_name_H-M_alt 'I -4 2 d'
_space_group_IT_number 122
_space_group_name_Hall 'I -4 2bw'
_cell_length_a 7.578
_cell_length_b 7.578
_cell_length_c 4.979
_cell_angle_alpha 90.00
_cell_angle_beta 90.00
_cell_angle_gamma 90.00
loop_
_atom_site_label
_atom_site_type_symbol
_atom_site_fract_x
_atom_site_fract_y
_atom_site_fract_z
Li1 Li 0.177 0.750 0.125
Hf1 Hf 0.000 0.000 0.500
S1 S 0.000 0.000 0.000



# LiHfS3 (PBE, relaxed)
# Formation energy from raw total energies: -10.8 kJ per mole of atoms
data_LiHfS3
_space_group_name_H-M_alt 'P m -3 m'
_space_group_IT_number 221
_space_group_name_Hall '-P 4 2 3'
_cell_length_a 4.339
_cell_length_b 4.339
_cell_length_c 4.339
_cell_angle_alpha 90.00
_cell_angle_beta 90.00
_cell_angle_gamma 90.00
loop_
_atom_site_label
_atom_site_type_symbol
_atom_site_fract_x
_atom_site_fract_y
_atom_site_fract_z
Li1 Li 0.000 0.000 0.000
Hf1 Hf 0.500 0.500 0.500
S1 S 0.000 0.000 0.500



# LiHfS2 (PBE, relaxed)
# Formation energy from raw total energies: -98.4 kJ per mole of atoms
data_LiHfS2
_space_group_name_H-M_alt 'F m -3 m'
_space_group_IT_number 225
_space_group_name_Hall '-F 4 2 3'
_cell_length_a 6.352
_cell_length_b 6.352
_cell_length_c 6.352
_cell_angle_alpha 90.00
_cell_angle_beta 90.00
_cell_angle_gamma 90.00
loop_
_atom_site_label
_atom_site_type_symbol
_atom_site_fract_x
_atom_site_fract_y
_atom_site_fract_z
Li1 Li 0.000 0.000 0.000
Hf1 Hf 0.000 0.000 0.500
S1 S 0.250 0.250 0.250



# LiHfS2 (PBE, relaxed)
# Formation energy from raw total energies: -112.9 kJ per mole of atoms
data_LiHfS2
_space_group_name_H-M_alt 'P 3 m 1'
_space_group_IT_number 156
_cell_length_a 3.9864
_cell_length_b 3.9864
_cell_length_c 6.5788
_cell_angle_alpha 90.00
_cell_angle_beta 90.00
_cell_angle_gamma 120.00
loop_
_space_group_symop_operation_xyz
'x,y,z'
'-y,x-y,z'
'-x+y,-x,z'
'-y,-x,z'
'-x+y,y,z'
'x,x-y,z'
loop_
_atom_site_label
_atom_site_type_symbol
_atom_site_fract_x
_atom_site_fract_y
_atom_site_fract_z
Li1 Li 0.0000 0.0000 0.0000
Hf1 Hf 0.3333 0.6667 0.5480
S1 S 0.0000 0.0000 0.4010
S2 S 0.3333 0.6667 0.9054



What did the third record say?
# Li3Hf4S8 (PBE, relaxed)
# Formation energy from raw total energies: -145.3 kJ per mole of atoms
data_Li3Hf4S8
_space_group_name_H-M_alt 'C 1 2/m 1'
_space_group_IT_number 12
_cell_length_a 10.177
_cell_length_b 10.292
_cell_length_c 7.210
_cell_angle_alpha 90.00
_cell_angle_beta 134.23
_cell_angle_gamma 90.00
loop_
_space_group_symop_operation_xyz
'x,y,z'
'-x,-y,-z'
'-x,y,-z'
'x,-y,z'
'x+1/2,y+1/2,z'
'-x+1/2,-y+1/2,-z'
'-x+1/2,y+1/2,-z'
'x+1/2,-y+1/2,z'
loop_
_atom_site_label
_atom_site_type_symbol
_atom_site_fract_x
_atom_site_fract_y
_atom_site_fract_z
Li1 Li 0.000 0.000 0.000
Li2 Li 0.250 0.250 0.000
Hf1 Hf 0.000 0.500 0.000
Hf2 Hf 0.000 0.500 0.500
Hf3 Hf 0.250 0.250 0.500
S1 S 0.000 0.248 0.000
S2 S 0.000 0.248 0.500
S3 S 0.241 0.500 0.988
S4 S 0.243 0.000 0.498



Repeat the eleventh record exactly.
# LiHfS2 (PBE, relaxed)
# Formation energy from raw total energies: -98.4 kJ per mole of atoms
data_LiHfS2
_space_group_name_H-M_alt 'F m -3 m'
_space_group_IT_number 225
_space_group_name_Hall '-F 4 2 3'
_cell_length_a 6.352
_cell_length_b 6.352
_cell_length_c 6.352
_cell_angle_alpha 90.00
_cell_angle_beta 90.00
_cell_angle_gamma 90.00
loop_
_atom_site_label
_atom_site_type_symbol
_atom_site_fract_x
_atom_site_fract_y
_atom_site_fract_z
Li1 Li 0.000 0.000 0.000
Hf1 Hf 0.000 0.000 0.500
S1 S 0.250 0.250 0.250